YSnTe3Au | PBE-GGA | relaxed

For the calculated density, the calculation gives 7.5 g cm⁻³. Its energy above the most stable polymorph in this dataset is 1 meV per atom. The value obtained for the magnetization is 0.00 μB/f.u.

The structure belongs to space group Cmcm (No. 63); the cell edges are 4.2703, 14.7980 and 11.1078 Å and the angles 90.00°, 90.00° and 90.00°. The inequivalent atoms are Y at (0.0000, 0.0000, 0.0000), Sn at (0.0000, 0.2244, 0.2500), Te at (0.0000, 0.0964, 0.7500), Te at (0.0000, 0.3512, 0.5550) and Au at (0.0000, 0.4706, 0.7500).